! Mn2ReSb | the Alexandria database | GGA-PBE | relaxed; values from VASP
! E_tot: -0.600 Ry per atom
! SG: No. 160
&SYSTEM
  ibrav = 0, nat = 4, ntyp = 3
/
ATOMIC_SPECIES
Mn 54.94 Mn.upf
Re 186.21 Re.upf
Sb 121.76 Sb.upf
ATOMIC_POSITIONS crystal
Mn 0.000 0.000 0.000
Mn 0.255 0.255 0.255
Re 0.738 0.738 0.738
Sb 0.498 0.498 0.498
CELL_PARAMETERS angstrom
1.481 0.855 8.504
-1.481 0.855 8.504
0.000 -1.710 8.504

! PmPu3Cu8 | the Alexandria database | GGA-PBE | relaxed; values from VASP
! E_tot: -0.498 Ry per atom
! SG: No. 156
&SYSTEM
  ibrav = 0, nat = 12, ntyp = 3
/
ATOMIC_SPECIES
Pm 145.00 Pm.upf
Pu 244.00 Pu.upf
Cu 63.55 Cu.upf
ATOMIC_POSITIONS crystal
Pm 0.000 0.000 0.000
Pu 0.000 0.000 0.393
Pu 0.667 0.333 0.496
Pu 0.667 0.333 0.876
Cu 0.003 0.501 0.192
Cu 0.169 0.339 0.692
Cu 0.169 0.831 0.692
Cu 0.333 0.667 0.441
Cu 0.333 0.667 0.942
Cu 0.499 0.501 0.192
Cu 0.499 0.997 0.192
Cu 0.661 0.831 0.692
CELL_PARAMETERS angstrom
5.259 0.000 0.000
-2.629 4.554 0.000
0.000 0.000 8.559

! Re2TcCl | the Alexandria database | GGA-PBE | relaxed; values from VASP
! excess energy over the best structure of this formula in the dataset: 0.5328 eV per atom
! SG: No. 47
&SYSTEM
  ibrav = 0, nat = 4, ntyp = 3
/
ATOMIC_SPECIES
Re 186.21 Re.upf
Tc 98.00 Tc.upf
Cl 35.45 Cl.upf
ATOMIC_POSITIONS crystal
Re 0.000 0.000 0.180
Re 0.000 0.000 0.820
Tc 0.500 0.500 0.000
Cl 0.500 0.500 0.500
CELL_PARAMETERS angstrom
2.845 0.000 0.000
0.000 3.753 0.000
0.000 0.000 6.803

! SrPRuAu | the Alexandria database | GGA-PBE | relaxed; values from VASP
! excess energy over the best structure of this formula in the dataset: 0.1394 eV per atom
! SG: No. 6
&SYSTEM
  ibrav = 0, nat = 4, ntyp = 4
/
ATOMIC_SPECIES
Sr 87.62 Sr.upf
P 30.97 P.upf
Ru 101.07 Ru.upf
Au 196.97 Au.upf
ATOMIC_POSITIONS crystal
Sr 0.000 0.000 0.000
P 0.158 0.500 0.319
Ru 0.542 0.500 0.086
Au 0.827 0.500 0.660
CELL_PARAMETERS angstrom
3.793 0.000 0.000
0.000 5.392 0.000
-1.900 0.000 4.947

! AcLa2Sm4Tm | the Alexandria database | GGA-PBE | relaxed; values from VASP
! E_tot: -0.340 Ry per atom
! SG: No. 47
&SYSTEM
  ibrav = 0, nat = 8, ntyp = 4
/
ATOMIC_SPECIES
Ac 227.00 Ac.upf
La 138.91 La.upf
Sm 150.36 Sm.upf
Tm 168.93 Tm.upf
ATOMIC_POSITIONS crystal
Ac 0.000 0.000 0.000
La 0.000 0.000 0.500
La 0.500 0.500 0.000
Sm 0.000 0.500 0.258
Sm 0.000 0.500 0.742
Sm 0.500 0.000 0.258
Sm 0.500 0.000 0.742
Tm 0.500 0.500 0.500
CELL_PARAMETERS angstrom
5.206 0.000 0.000
0.000 5.230 0.000
0.000 0.000 10.422

! Ca4Tl3Pd | the Alexandria database | GGA-PBE | relaxed; values from VASP
! E_tot: -0.222 Ry per atom
! SG: No. 123
&SYSTEM
  ibrav = 0, nat = 8, ntyp = 3
/
ATOMIC_SPECIES
Ca 40.08 Ca.upf
Tl 204.38 Tl.upf
Pd 106.42 Pd.upf
ATOMIC_POSITIONS crystal
Ca 0.000 0.000 0.108
Ca 0.000 0.000 0.370
Ca 0.000 0.000 0.630
Ca 0.000 0.000 0.892
Tl 0.500 0.500 0.240
Tl 0.500 0.500 0.500
Tl 0.500 0.500 0.760
Pd 0.500 0.500 0.000
CELL_PARAMETERS angstrom
3.772 0.000 0.000
0.000 3.772 0.000
0.000 0.000 15.460

! Sc2Mn2Zn | the Alexandria database | GGA-PBE | relaxed; values from VASP
! E_tot: -0.477 Ry per atom
! SG: No. 127
&SYSTEM
  ibrav = 0, nat = 10, ntyp = 3
/
ATOMIC_SPECIES
Sc 44.96 Sc.upf
Mn 54.94 Mn.upf
Zn 65.41 Zn.upf
ATOMIC_POSITIONS crystal
Sc 0.180 0.320 0.000
Sc 0.320 0.820 0.000
Sc 0.680 0.180 0.000
Sc 0.820 0.680 0.000
Mn 0.114 0.614 0.500
Mn 0.386 0.114 0.500
Mn 0.614 0.886 0.500
Mn 0.886 0.386 0.500
Zn 0.000 0.000 0.500
Zn 0.500 0.500 0.500
CELL_PARAMETERS angstrom
6.429 0.000 0.000
0.000 6.429 0.000
0.000 0.000 3.990

! ScUGa | the Alexandria database | GGA-PBE | relaxed; values from VASP
! E_tot: -0.504 Ry per atom
! SG: No. 69
&SYSTEM
  ibrav = 0, nat = 6, ntyp = 3
/
ATOMIC_SPECIES
Sc 44.96 Sc.upf
U 238.03 U.upf
Ga 69.72 Ga.upf
ATOMIC_POSITIONS crystal
Sc 0.250 0.250 0.250
Sc 0.750 0.750 0.750
U 0.154 0.846 0.154
U 0.846 0.154 0.846
Ga 0.387 0.387 0.613
Ga 0.613 0.613 0.387
CELL_PARAMETERS angstrom
0.000 3.922 5.834
2.840 0.000 5.834
2.840 3.922 0.000

! K3Pr2HoTe6 | the Alexandria database | GGA-PBE | relaxed; values from VASP
! E_tot: -0.326 Ry per atom
! SG: No. 12
&SYSTEM
  ibrav = 0, nat = 12, ntyp = 4
/
ATOMIC_SPECIES
K 39.10 K.upf
Pr 140.91 Pr.upf
Ho 164.93 Ho.upf
Te 127.60 Te.upf
ATOMIC_POSITIONS crystal
K 0.000 0.000 0.000
K 0.331 0.669 0.000
K 0.669 0.331 0.000
Pr 0.166 0.834 0.500
Pr 0.834 0.166 0.500
Ho 0.500 0.500 0.500
Te 0.106 0.429 0.287
Te 0.248 0.248 0.714
Te 0.429 0.106 0.287
Te 0.571 0.894 0.713
Te 0.752 0.752 0.286
Te 0.894 0.571 0.713
CELL_PARAMETERS angstrom
3.979 -6.893 0.000
3.979 6.893 0.000
-2.657 0.000 8.254

! Sr2Co | the Alexandria database | GGA-PBE | relaxed; values from VASP
! E_tot: -0.190 Ry per atom
! SG: No. 191
&SYSTEM
  ibrav = 0, nat = 3, ntyp = 2
/
ATOMIC_SPECIES
Sr 87.62 Sr.upf
Co 58.93 Co.upf
ATOMIC_POSITIONS crystal
Sr 0.333 0.667 0.000
Sr 0.667 0.333 0.000
Co 0.000 0.000 0.500
CELL_PARAMETERS angstrom
5.544 0.000 0.000
-2.772 4.801 0.000
0.000 0.000 3.374

! SnAsI2N | the Alexandria database | GGA-PBE | relaxed; values from VASP
! excess energy over the best structure of this formula in the dataset: 0.0000 eV per atom
! SG: No. 123
&SYSTEM
  ibrav = 0, nat = 5, ntyp = 4
/
ATOMIC_SPECIES
Sn 118.71 Sn.upf
As 74.92 As.upf
I 126.90 I.upf
N 14.01 N.upf
ATOMIC_POSITIONS crystal
Sn 0.000 0.000 0.000
As 0.500 0.500 0.500
I 0.000 0.500 0.500
I 0.500 0.000 0.500
N 0.500 0.500 0.000
CELL_PARAMETERS angstrom
6.145 0.000 0.000
0.000 6.145 0.000
0.000 0.000 3.723

! NbNiPd2 | the Alexandria database | GGA-PBE | relaxed; values from VASP
! excess energy over the best structure of this formula in the dataset: 0.0000 eV per atom
! SG: No. 59
&SYSTEM
  ibrav = 0, nat = 8, ntyp = 3
/
ATOMIC_SPECIES
Nb 92.91 Nb.upf
Ni 58.69 Ni.upf
Pd 106.42 Pd.upf
ATOMIC_POSITIONS crystal
Nb 0.250 0.250 0.145
Nb 0.750 0.750 0.855
Ni 0.250 0.750 0.160
Ni 0.750 0.250 0.840
Pd 0.250 0.000 0.666
Pd 0.250 0.500 0.666
Pd 0.750 0.000 0.334
Pd 0.750 0.500 0.334
CELL_PARAMETERS angstrom
4.476 0.000 0.000
0.000 5.425 0.000
0.000 0.000 4.858

! NaPr2Al | the Alexandria database | GGA-PBE | relaxed; values from VASP
! excess energy over the best structure of this formula in the dataset: 0.1579 eV per atom
! SG: No. 166
&SYSTEM
  ibrav = 0, nat = 4, ntyp = 3
/
ATOMIC_SPECIES
Na 22.99 Na.upf
Pr 140.91 Pr.upf
Al 26.98 Al.upf
ATOMIC_POSITIONS crystal
Na 0.000 0.000 0.000
Pr 0.103 0.103 0.103
Pr 0.897 0.897 0.897
Al 0.500 0.500 0.500
CELL_PARAMETERS angstrom
1.834 1.059 11.905
-1.834 1.059 11.905
0.000 -2.118 11.905

! RbScAgI6 | the Alexandria database | GGA-PBE | relaxed; values from VASP
! E_tot: -0.224 Ry per atom
! SG: No. 1
&SYSTEM
  ibrav = 0, nat = 9, ntyp = 4
/
ATOMIC_SPECIES
Rb 85.47 Rb.upf
Sc 44.96 Sc.upf
Ag 107.87 Ag.upf
I 126.90 I.upf
ATOMIC_POSITIONS crystal
Rb 0.000 0.000 0.000
Sc 0.346 0.655 0.499
Ag 0.696 0.311 0.497
I 0.043 0.614 0.255
I 0.051 0.357 0.675
I 0.382 0.956 0.742
I 0.425 0.375 0.271
I 0.627 0.577 0.725
I 0.641 0.950 0.322
CELL_PARAMETERS angstrom
7.524 0.000 0.000
-3.009 6.896 0.000
-0.490 -0.754 7.926

! Sr2InReO6 | the Alexandria database | GGA-PBE | relaxed; values from VASP
! E_tot: -0.507 Ry per atom
! SG: No. 225
&SYSTEM
  ibrav = 0, nat = 10, ntyp = 4
/
ATOMIC_SPECIES
Sr 87.62 Sr.upf
In 114.82 In.upf
Re 186.21 Re.upf
O 16.00 O.upf
ATOMIC_POSITIONS crystal
Sr 0.250 0.250 0.250
Sr 0.750 0.750 0.750
In 0.000 0.000 0.000
Re 0.500 0.500 0.500
O 0.260 0.260 0.740
O 0.260 0.740 0.260
O 0.260 0.740 0.740
O 0.740 0.260 0.260
O 0.740 0.260 0.740
O 0.740 0.740 0.260
CELL_PARAMETERS angstrom
0.000 4.103 4.103
4.103 0.000 4.103
4.103 4.103 0.000

! YScSi2Pt5 | the Alexandria database | GGA-PBE | relaxed; values from VASP
! E_tot: -0.505 Ry per atom
! SG: No. 123
&SYSTEM
  ibrav = 0, nat = 9, ntyp = 4
/
ATOMIC_SPECIES
Y 88.91 Y.upf
Sc 44.96 Sc.upf
Si 28.09 Si.upf
Pt 195.08 Pt.upf
ATOMIC_POSITIONS crystal
Y 0.000 0.000 0.000
Sc 0.000 0.000 0.500
Si 0.500 0.500 0.213
Si 0.500 0.500 0.787
Pt 0.000 0.500 0.325
Pt 0.000 0.500 0.675
Pt 0.500 0.000 0.325
Pt 0.500 0.000 0.675
Pt 0.500 0.500 0.000
CELL_PARAMETERS angstrom
4.045 0.000 0.000
0.000 4.045 0.000
0.000 0.000 10.948

! Hg2HPbAu | the Alexandria database | GGA-PBE | relaxed; values from VASP
! excess energy over the best structure of this formula in the dataset: 0.0000 eV per atom
! SG: No. 123
&SYSTEM
  ibrav = 0, nat = 5, ntyp = 4
/
ATOMIC_SPECIES
Hg 200.59 Hg.upf
H 1.01 H.upf
Pb 207.20 Pb.upf
Au 196.97 Au.upf
ATOMIC_POSITIONS crystal
Hg 0.000 0.500 0.000
Hg 0.500 0.000 0.000
H 0.000 0.000 0.500
Pb 0.500 0.500 0.500
Au 0.000 0.000 0.000
CELL_PARAMETERS angstrom
5.664 0.000 0.000
0.000 5.664 0.000
0.000 0.000 3.535

! MnSnPHS | the Alexandria database | GGA-PBE | relaxed; values from VASP
! excess energy over the best structure of this formula in the dataset: 0.0369 eV per atom
! SG: No. 8
&SYSTEM
  ibrav = 0, nat = 5, ntyp = 5
/
ATOMIC_SPECIES
Mn 54.94 Mn.upf
Sn 118.71 Sn.upf
P 30.97 P.upf
H 1.01 H.upf
S 32.06 S.upf
ATOMIC_POSITIONS crystal
Mn 0.000 0.000 0.000
Sn 0.709 0.709 0.893
P 0.525 0.525 0.345
H 0.156 0.156 0.231
S 0.392 0.392 0.630
CELL_PARAMETERS angstrom
4.996 -1.640 0.000
4.996 1.640 0.000
-1.679 0.000 4.497

! LaMn | the Alexandria database | GGA-PBE | relaxed; values from VASP
! E_tot: -0.441 Ry per atom
! SG: No. 194
&SYSTEM
  ibrav = 0, nat = 4, ntyp = 2
/
ATOMIC_SPECIES
La 138.91 La.upf
Mn 54.94 Mn.upf
ATOMIC_POSITIONS crystal
La 0.333 0.667 0.250
La 0.667 0.333 0.750
Mn 0.333 0.667 0.750
Mn 0.667 0.333 0.250
CELL_PARAMETERS angstrom
5.197 0.000 0.000
-2.598 4.501 0.000
0.000 0.000 5.904

! TbEr3Tm2 | the Alexandria database | GGA-PBE | relaxed; values from VASP
! excess energy over the best structure of this formula in the dataset: 0.0000 eV per atom
! SG: No. 15
&SYSTEM
  ibrav = 0, nat = 12, ntyp = 3
/
ATOMIC_SPECIES
Tb 158.93 Tb.upf
Er 167.26 Er.upf
Tm 168.93 Tm.upf
ATOMIC_POSITIONS crystal
Tb 0.125 0.875 0.750
Tb 0.875 0.125 0.250
Er 0.042 0.292 0.916
Er 0.292 0.042 0.416
Er 0.375 0.625 0.250
Er 0.625 0.375 0.750
Er 0.708 0.958 0.584
Er 0.958 0.708 0.084
Tm 0.208 0.458 0.583
Tm 0.458 0.208 0.083
Tm 0.542 0.792 0.917
Tm 0.792 0.542 0.417
CELL_PARAMETERS angstrom
8.578 -3.502 0.000
8.578 3.502 0.000
-0.006 0.000 6.059